Record 1
Here is a relaxed structure of TaBrCl from the Alexandria database. Energies are from PBE.

The structure in POSCAR format:
```
TaBrCl
1.0
7.3983 0.1329 0.0000
5.9828 4.3542 0.0000
-6.6906 -2.2435 2.2261
Br Cl Ta
1 1 1
direct
0.0540 0.0540 0.0000
0.2770 0.2770 0.0000
0.6690 0.6690 0.0000
```

Properties
**Relative energy among the computed polymorphs**: 0.514 eV/atom
**E**: -5.334 eV/atom
**Total moment**: 0.00 μB/f.u.
**Space-group type**: I4mm, No. 107
**Formation energy from raw total energies**: -0.210 eV per atom

---

Record 2
Here is a relaxed structure of Ta2BrCl from the Alexandria database. Energies are from PBE.

The structure in POSCAR format:
```
Ta2BrCl
1.0
3.2182 0.0051 0.0000
-1.8802 2.6119 0.0000
0.0000 0.0000 9.1407
Cl Ta Br
1 2 1
direct
0.5000 0.5000 0.7500
0.0000 0.0000 0.5065
0.0000 0.0000 0.9935
0.5000 0.5000 0.2500
```

Properties
**Relative energy among the computed polymorphs**: 0.919 eV/atom
**E**: -6.303 eV/atom
**Total moment**: 0.00 μB/f.u.
**Space-group type**: Cmmm, No. 65
**Formation energy from raw total energies**: 0.503 eV per atom

---

Record 3
Here is a relaxed structure of Ta2BrCl from the Alexandria database. Energies are from PBE.

The structure in POSCAR format:
```
Ta2BrCl
1.0
3.0400 0.0000 0.0000
0.0000 3.0400 0.0000
0.0000 0.0000 9.4073
Br Cl Ta
1 1 2
direct
0.0000 0.0000 0.4266
0.5000 0.5000 0.8304
0.0000 0.0000 0.0073
0.5000 0.5000 0.2357
```

Properties
**Relative energy among the computed polymorphs**: 0.185 eV/atom
**E**: -7.037 eV/atom
**Total moment**: 0.00 μB/f.u.
**Space-group type**: P4mm, No. 99
**Formation energy from raw total energies**: -0.231 eV per atom

---

Record 4
Here is a relaxed structure of TaBrCl3 from the Alexandria database. Energies are from PBE.

The structure in POSCAR format:
```
TaBrCl3
1.0
9.1669 0.0000 0.0000
4.5835 7.9388 0.0000
4.5835 2.6463 6.5906
Ta Cl Br
2 6 2
direct
0.8656 0.8656 0.4033
0.1344 0.1344 0.5967
0.2321 0.8258 0.7117
0.2304 0.2321 0.7117
0.7679 0.1742 0.2883
0.1742 0.7696 0.2883
0.7696 0.7679 0.2883
0.8258 0.2304 0.7117
0.7429 0.7429 0.7713
0.2571 0.2571 0.2287
```

Properties
**Relative energy among the computed polymorphs**: 0.195 eV/atom
**E**: -4.825 eV/atom
**Total moment**: 1.00 μB/f.u.
**Space-group type**: R-3, No. 148
**Formation energy from raw total energies**: -1.012 eV per atom

---

Record 5
Here is a relaxed structure of TaBr2Cl from the Alexandria database. Energies are from PBE.

The structure in POSCAR format:
```
TaBr2Cl
1.0
-6.1142 -0.7443 1.5951
1.6926 -3.2466 -4.1455
-1.1015 -2.6725 1.6721
Ta Cl Br
1 1 2
direct
0.5000 0.5000 0.0000
0.0000 0.5000 0.5000
0.5000 0.0000 0.5000
0.0000 0.0000 0.0000
```

Properties
**Relative energy among the computed polymorphs**: 1.296 eV/atom
**E**: -3.729 eV/atom
**Total moment**: 1.27 μB/f.u.
**Space-group type**: C2/m, No. 12
**Formation energy from raw total energies**: 0.533 eV per atom

---

Record 6
Here is a relaxed structure of TaBr2Cl from the Alexandria database. Energies are from PBE.

The structure in POSCAR format:
```
TaBr2Cl
1.0
3.2998 0.0000 0.0000
0.0000 5.1269 -0.0018
0.0000 3.0908 5.0320
Ta Br Cl
1 2 1
direct
0.0000 0.0000 0.5000
0.5000 0.5000 0.0000
0.0000 0.0000 0.0000
0.5000 0.5000 0.5000
```

Properties
**Relative energy among the computed polymorphs**: 1.400 eV/atom
**E**: -3.624 eV/atom
**Total moment**: 1.24 μB/f.u.
**Space-group type**: P2/m, No. 10
**Formation energy from raw total energies**: 0.637 eV per atom

---

Record 7
Here is a relaxed structure of TaBr2Cl from the Alexandria database. Energies are from PBE.

The structure in POSCAR format:
```
TaBr2Cl
1.0
-2.0126 -1.5271 -2.4904
3.5434 0.1433 0.0933
0.2134 -8.5975 5.0994
Br Ta Cl
2 1 1
direct
0.0000 0.0000 0.9563
0.0000 0.0000 0.5437
0.5000 0.5000 0.7500
0.5000 0.5000 0.2500
```

Properties
**Relative energy among the computed polymorphs**: 0.748 eV/atom
**E**: -4.276 eV/atom
**Total moment**: 0.37 μB/f.u.
**Space-group type**: Cmmm, No. 65
**Formation energy from raw total energies**: -0.015 eV per atom

---

Record 8
Here is a relaxed structure of TaBrCl3 from the Alexandria database. Energies are from PBE.

The structure in POSCAR format:
```
TaBrCl3
1.0
-1.1444 -3.3468 -3.9151
-3.8783 -2.0792 2.9111
-3.3894 3.5092 -2.0091
Cl Ta Br
3 1 1
direct
0.0000 0.0000 0.5000
0.5000 0.0000 0.0000
0.0000 0.5000 0.0000
0.5000 0.5000 0.5000
0.0000 0.0000 0.0000
```

Properties
**Relative energy among the computed polymorphs**: 2.476 eV/atom
**E**: -2.544 eV/atom
**Total moment**: 3.83 μB/f.u.
**Space-group type**: Pm-3m, No. 221
**Formation energy from raw total energies**: 1.269 eV per atom

---

Record 9
Here is a relaxed structure of TaBr4Cl from the Alexandria database. Energies are from PBE.

The structure in POSCAR format:
```
TaBr4Cl
1.0
7.4426 -0.2095 0.0000
-3.8279 6.1243 0.0000
0.0000 0.0000 12.7919
Br Ta Cl
8 2 2
direct
0.6659 0.9140 0.1422
0.1630 0.9016 0.8847
0.9495 0.2270 0.9198
0.1639 0.9821 0.1522
0.1639 0.4821 0.3478
0.1630 0.4016 0.6153
0.6658 0.4140 0.3578
0.9495 0.7270 0.5802
0.9132 0.4130 0.4893
0.9132 0.9130 0.0107
0.6446 0.5623 0.9612
0.6446 0.0623 0.5388
```

Properties
**Relative energy among the computed polymorphs**: 0.000 eV/atom
**E**: -4.384 eV/atom
**Total moment**: 0.00 μB/f.u.
**Space-group type**: Pc, No. 7
**Formation energy from raw total energies**: -0.986 eV per atom

---

Record 10
Here is a relaxed structure of Ta2BrCl from the Alexandria database. Energies are from PBE.

The structure in POSCAR format:
```
Ta2BrCl
1.0
-1.9700 4.5609 0.4670
-3.5429 -0.3612 3.4953
4.7745 -1.4445 0.1321
Cl Br Ta
1 1 2
direct
0.7500 0.2500 0.5000
0.2500 0.7500 0.5000
0.5000 0.5000 0.0000
0.0000 0.0000 0.0000
```

Properties
**Relative energy among the computed polymorphs**: 1.338 eV/atom
**E**: -5.884 eV/atom
**Total moment**: 0.00 μB/f.u.
**Space-group type**: I4/mmm, No. 139
**Formation energy from raw total energies**: 0.922 eV per atom

---

Record 11
Here is a relaxed structure of TaBrCl3 from the Alexandria database. Energies are from PBE.

The structure in POSCAR format:
```
TaBrCl3
1.0
-1.2962 -0.4990 4.6452
4.6695 0.0179 1.3049
-0.1515 4.8227 0.4758
Br Cl Ta
1 3 1
direct
0.5000 0.5000 0.5000
0.0000 0.5000 0.0000
0.0000 0.0000 0.5000
0.5000 0.0000 0.0000
0.0000 0.0000 0.0000
```

Properties
**Relative energy among the computed polymorphs**: 0.666 eV/atom
**E**: -4.354 eV/atom
**Total moment**: 0.00 μB/f.u.
**Space-group type**: Pm-3m, No. 221
**Formation energy from raw total energies**: -0.541 eV per atom

---

Record 12
Here is a relaxed structure of TaBr2Cl from the Alexandria database. Energies are from PBE.

The structure in POSCAR format:
```
TaBr2Cl
1.0
3.1234 0.0000 0.0000
0.0000 3.1234 0.0000
0.0000 0.0000 9.2838
Ta Cl Br
1 1 2
direct
0.5000 0.5000 0.7463
0.0000 0.0000 0.5823
0.0000 0.0000 0.9234
0.5000 0.5000 0.2479
```

Properties
**Relative energy among the computed polymorphs**: 0.565 eV/atom
**E**: -4.459 eV/atom
**Total moment**: 0.00 μB/f.u.
**Space-group type**: P4mm, No. 99
**Formation energy from raw total energies**: -0.198 eV per atom

---

Please write out number 1 again, unchanged.
Here is a relaxed structure of TaBrCl from the Alexandria database. Energies are from PBE.

The structure in POSCAR format:
```
TaBrCl
1.0
7.3983 0.1329 0.0000
5.9828 4.3542 0.0000
-6.6906 -2.2435 2.2261
Br Cl Ta
1 1 1
direct
0.0540 0.0540 0.0000
0.2770 0.2770 0.0000
0.6690 0.6690 0.0000
```

Properties
**Relative energy among the computed polymorphs**: 0.514 eV/atom
**E**: -5.334 eV/atom
**Total moment**: 0.00 μB/f.u.
**Space-group type**: I4mm, No. 107
**Formation energy from raw total energies**: -0.210 eV per atom

---

Look up the total moment of the sixth one.
1.24 μB/f.u.

---

Among the records above, which one has the lowest E?
number 3